RbCrInBr6: optimized geometry, PBE.

Fermi-level density of states = 1.8 states/eV/cell
total magnetic moment = 1.95 Bohr magnetons per cell
V = 37.2 Å³/atom
uncorrected formation energy = -0.949 eV/atom

Lattice parameters (Å, degrees): 7.1813 7.1813 7.5018 90.00 90.00 120.00
Space group P312 (No. 149)
Symmetry-distinct sites (fractional):
Rb (0.0000, 0.0000, 0.0000) [1 per cell]
Cr (0.3333, 0.6667, 0.5000) [1 per cell]
In (0.6667, 0.3333, 0.5000) [1 per cell]
Br (0.0417, 0.3883, 0.6961) [6 per cell]